# 1
VASP calculation (GGA-PBE) on crystalline V3Ni4Pt at its relaxed geometry.

```
data_V3Ni4Pt
_chemical_formula_sum 'V3 Ni4 Pt1'
_cell_length_a 7.9302
_cell_length_b 7.9302
_cell_length_c 7.9302
_cell_angle_alpha 153.61
_cell_angle_beta 153.61
_cell_angle_gamma 37.66
_symmetry_space_group_name_H-M 'P 1'
_symmetry_Int_Tables_number 1
loop_
_symmetry_equiv_pos_as_xyz
'x,y,z'
loop_
_atom_site_label
_atom_site_fract_x
_atom_site_fract_y
_atom_site_fract_z
V1 0.0000 0.0000 0.0000
V2 0.2537 0.2537 0.0000
V3 0.7463 0.7463 0.0000
Ni1 0.1265 0.6265 0.5000
Ni2 0.3735 0.8735 0.5000
Ni3 0.6265 0.1265 0.5000
Ni4 0.8735 0.3735 0.5000
Pt1 0.5000 0.5000 0.0000
```

Computed properties:
Formation energy   -1.977 eV/f.u.

***

# 2
VASP calculation (GGA-PBE) on crystalline EuGdCdGe at its relaxed geometry.

```
data_EuGdCdGe
_chemical_formula_sum 'Eu1 Gd1 Cd1 Ge1'
_cell_length_a 5.2801
_cell_length_b 5.2801
_cell_length_c 5.2801
_cell_angle_alpha 60.00
_cell_angle_beta 60.00
_cell_angle_gamma 60.00
_symmetry_space_group_name_H-M 'P 1'
_symmetry_Int_Tables_number 1
loop_
_symmetry_equiv_pos_as_xyz
'x,y,z'
loop_
_atom_site_label
_atom_site_fract_x
_atom_site_fract_y
_atom_site_fract_z
Eu1 0.0000 0.0000 0.0000
Gd1 0.5000 0.5000 0.5000
Cd1 0.2500 0.2500 0.2500
Ge1 0.7500 0.7500 0.7500
```

Computed properties:
Formation energy   -1.938 eV/f.u.

***

# 3
VASP calculation (GGA-PBE) on crystalline Zn2PSe at its relaxed geometry.

```
data_Zn2PSe
_chemical_formula_sum 'Zn2 P1 Se1'
_cell_length_a 4.4948
_cell_length_b 4.4948
_cell_length_c 3.4103
_cell_angle_alpha 90.00
_cell_angle_beta 90.00
_cell_angle_gamma 90.00
_symmetry_space_group_name_H-M 'P 1'
_symmetry_Int_Tables_number 1
loop_
_symmetry_equiv_pos_as_xyz
'x,y,z'
loop_
_atom_site_label
_atom_site_fract_x
_atom_site_fract_y
_atom_site_fract_z
Zn1 0.0000 0.5000 0.0000
Zn2 0.5000 0.0000 0.0000
P1 0.0000 0.0000 0.5000
Se1 0.5000 0.5000 0.5000
```

Computed properties:
Formation energy without anion corrections   0.321 eV per atom

***

# 4
VASP calculation (GGA-PBE) on crystalline Hf4TcAg at its relaxed geometry.

```
data_Hf4TcAg
_chemical_formula_sum 'Hf4 Tc1 Ag1'
_cell_length_a 3.2616
_cell_length_b 3.2616
_cell_length_c 11.1895
_cell_angle_alpha 90.00
_cell_angle_beta 90.00
_cell_angle_gamma 90.00
_symmetry_space_group_name_H-M 'P 1'
_symmetry_Int_Tables_number 1
loop_
_symmetry_equiv_pos_as_xyz
'x,y,z'
loop_
_atom_site_label
_atom_site_fract_x
_atom_site_fract_y
_atom_site_fract_z
Hf1 0.0000 0.0000 0.1425
Hf2 0.0000 0.0000 0.8575
Hf3 0.5000 0.5000 0.3262
Hf4 0.5000 0.5000 0.6738
Tc1 0.5000 0.5000 0.0000
Ag1 0.0000 0.0000 0.5000
```

Computed properties:
Formation energy   -1.134 eV/f.u.

***

no.,total magnetic moment (μB/cell),density (Mg/m³),Fermi-level density of states (states/eV/atom)
1,0.00,9.838,1.014
2,14.62,7.885,0.985
3,0.00,5.802,0.547
4,0.00,12.831,1.170